Entry 1:
Compound: Ti3Nb2Re4
Source: Alexandria via LeMat-Bulk
Functional: GGA-PBE
Structure: relaxed

a = 3.1412 Å, b = 5.2807 Å, c = 9.3706 Å
α = 74.74°, β = 80.38°, γ = 72.78°
Space group P-1 (No. 2)
Inequivalent atoms, fractional coordinates:
1 Ti 0.0000 0.0000 0.0000 (multiplicity 1)
2 Ti 0.0028 0.3327 0.6624 (multiplicity 2)
3 Nb 0.3232 0.1279 0.2252 (multiplicity 2)
4 Re 0.3331 0.4418 0.8916 (multiplicity 2)
5 Re 0.3325 0.7808 0.5527 (multiplicity 2)

Summary:
**Total magnetic moment**: 0.0 Bohr magnetons per cell
**DOS(E_F)**: 0.579 states/eV per atom
**DFT formation energy**: -0.34 eV per atom
**Total DFT energy (no corrections)**: -10.739 eV per atom



Entry 2:
Compound: TiNb2Re
Source: Alexandria via LeMat-Bulk
Functional: GGA-PBE
Structure: relaxed

a = 3.2233 Å, b = 4.4803 Å, c = 9.3056 Å
α = 90.00°, β = 90.00°, γ = 90.00°
Space group Immm (No. 71)
Inequivalent atoms, fractional coordinates:
1 Ti 0.0000 0.0000 0.0000 (multiplicity 2)
2 Nb 0.0000 0.5000 0.2396 (multiplicity 4)
3 Re 0.0000 0.0000 0.5000 (multiplicity 2)

Summary:
**Total magnetic moment**: 0.0 Bohr magnetons per cell
**DOS(E_F)**: 0.944 states/eV per atom
**DFT formation energy**: -0.22 eV per atom
**Total DFT energy (no corrections)**: -10.344 eV per atom



Entry 3:
Compound: Ti4NbRe2
Source: Alexandria via LeMat-Bulk
Functional: GGA-PBE
Structure: relaxed

a = 4.6531 Å, b = 4.6531 Å, c = 12.5437 Å
α = 90.00°, β = 90.00°, γ = 90.00°
Space group I4/mmm (No. 139)
Inequivalent atoms, fractional coordinates:
1 Ti 0.0000 0.0000 0.2010 (multiplicity 4)
2 Ti 0.0000 0.5000 0.0000 (multiplicity 4)
3 Nb 0.0000 0.0000 0.0000 (multiplicity 2)
4 Re 0.0000 0.0000 0.3823 (multiplicity 4)

Summary:
**Total magnetic moment**: 0.0 Bohr magnetons per cell
**DOS(E_F)**: 1.109 states/eV per atom
**DFT formation energy**: 0.95 eV per atom
**Total DFT energy (no corrections)**: -8.557 eV per atom



Entry 4:
Compound: Ti2Nb2Re
Source: Alexandria via LeMat-Bulk
Functional: GGA-PBE
Structure: relaxed

a = 5.9234 Å, b = 8.8464 Å, c = 7.4155 Å
α = 90.00°, β = 112.90°, γ = 90.00°
Space group C2/m (No. 12)
Inequivalent atoms, fractional coordinates:
1 Ti 0.1742 0.1974 0.1859 (multiplicity 8)
2 Nb 0.1784 0.5000 0.4190 (multiplicity 4)
3 Nb 0.2407 0.0000 0.9116 (multiplicity 4)
4 Re 0.0000 0.2333 0.5000 (multiplicity 4)

Summary:
**Total magnetic moment**: 0.0 Bohr magnetons per cell
**DOS(E_F)**: 0.925 states/eV per atom
**DFT formation energy**: 0.11 eV per atom
**Total DFT energy (no corrections)**: -9.568 eV per atom
**Offset from the most stable computed form**: 0.0 meV per atom



Entry 5:
Compound: TiNbRe
Source: Alexandria via LeMat-Bulk
Functional: GGA-PBE
Structure: relaxed

a = 4.7177 Å, b = 4.7177 Å, c = 5.1728 Å
α = 90.00°, β = 90.00°, γ = 120.00°
Space group P6_3/mmc (No. 194)
Inequivalent atoms, fractional coordinates:
1 Ti 0.3333 0.6667 0.2500 (multiplicity 2)
2 Nb 0.0000 0.0000 0.0000 (multiplicity 2)
3 Re 0.3333 0.6667 0.7500 (multiplicity 2)

Summary:
**Total magnetic moment**: 0.0 Bohr magnetons per cell
**DOS(E_F)**: 0.749 states/eV per atom
**DFT formation energy**: 0.03 eV per atom
**Total DFT energy (no corrections)**: -10.105 eV per atom
**Offset from the most stable computed form**: 312.4 meV per atom



Entry 6:
Compound: Ti2NbRe3
Source: Alexandria via LeMat-Bulk
Functional: GGA-PBE
Structure: relaxed

a = 3.1540 Å, b = 3.1540 Å, c = 9.4063 Å
α = 90.00°, β = 90.00°, γ = 90.00°
Space group P4/mmm (No. 123)
Inequivalent atoms, fractional coordinates:
1 Ti 0.0000 0.0000 0.1632 (multiplicity 2)
2 Nb 0.0000 0.0000 0.5000 (multiplicity 1)
3 Re 0.5000 0.5000 0.0000 (multiplicity 1)
4 Re 0.5000 0.5000 0.3294 (multiplicity 2)

Summary:
**Total magnetic moment**: 0.0 Bohr magnetons per cell
**DOS(E_F)**: 0.570 states/eV per atom
**DFT formation energy**: -0.38 eV per atom
**Total DFT energy (no corrections)**: -10.914 eV per atom
**Offset from the most stable computed form**: 4.5 meV per atom



Entry 7:
Compound: Ti2Nb8Re3
Source: Alexandria via LeMat-Bulk
Functional: GGA-PBE
Structure: relaxed

a = 12.4575 Å, b = 7.3001 Å, c = 5.2833 Å
α = 90.00°, β = 95.64°, γ = 90.00°
Space group C2/m (No. 12)
Inequivalent atoms, fractional coordinates:
1 Ti 0.1918 0.0000 0.2710 (multiplicity 4)
2 Nb 0.1051 0.5000 0.9303 (multiplicity 4)
3 Nb 0.1169 0.3195 0.4502 (multiplicity 8)
4 Nb 0.1847 0.0000 0.7765 (multiplicity 4)
5 Re 0.0000 0.0000 0.5000 (multiplicity 2)
6 Re 0.0000 0.1874 0.0000 (multiplicity 4)

Summary:
**Total magnetic moment**: 0.0 Bohr magnetons per cell
**DOS(E_F)**: 1.097 states/eV per atom
**DFT formation energy**: 0.34 eV per atom
**Total DFT energy (no corrections)**: -9.943 eV per atom



Entry 8:
Compound: Ti2Nb3Re3
Source: Alexandria via LeMat-Bulk
Functional: GGA-PBE
Structure: relaxed

a = 4.5162 Å, b = 4.5162 Å, c = 22.0917 Å
α = 90.00°, β = 90.00°, γ = 120.00°
Space group R3m (No. 160, hexagonal axes)
Inequivalent atoms, fractional coordinates:
1 Ti 0.0000 0.0000 0.0000 (multiplicity 3)
2 Ti 0.0000 0.0000 0.4944 (multiplicity 3)
3 Nb 0.0000 0.0000 0.2453 (multiplicity 3)
4 Nb 0.0000 0.0000 0.6218 (multiplicity 3)
5 Nb 0.0000 0.0000 0.7487 (multiplicity 3)
6 Re 0.0000 0.0000 0.1221 (multiplicity 3)
7 Re 0.0000 0.0000 0.3719 (multiplicity 3)
8 Re 0.0000 0.0000 0.8728 (multiplicity 3)

Summary:
**Total magnetic moment**: 0.0 Bohr magnetons per cell
**DOS(E_F)**: 0.883 states/eV per atom
**DFT formation energy**: -0.28 eV per atom
**Total DFT energy (no corrections)**: -10.701 eV per atom



Entry 9:
Compound: TiNb3Re
Source: Alexandria via LeMat-Bulk
Functional: GGA-PBE
Structure: relaxed

a = 5.0491 Å, b = 5.0491 Å, c = 18.0968 Å
α = 90.00°, β = 90.00°, γ = 90.00°
Space group I-4m2 (No. 119)
Inequivalent atoms, fractional coordinates:
1 Ti 0.0000 0.0000 0.1893 (multiplicity 4)
2 Nb 0.0000 0.2536 0.6253 (multiplicity 8)
3 Nb 0.0000 0.5000 0.0349 (multiplicity 4)
4 Re 0.0000 0.0000 0.5000 (multiplicity 2)
5 Re 0.0000 0.5000 0.7500 (multiplicity 2)

Summary:
**Total magnetic moment**: 0.0 Bohr magnetons per cell
**DOS(E_F)**: 1.354 states/eV per atom
**DFT formation energy**: 1.03 eV per atom
**Total DFT energy (no corrections)**: -9.085 eV per atom
**Offset from the most stable computed form**: 1182.9 meV per atom



Entry 10:
Compound: TiNbRe3
Source: Alexandria via LeMat-Bulk
Functional: GGA-PBE
Structure: relaxed

a = 4.5001 Å, b = 4.5001 Å, c = 4.5001 Å
α = 90.00°, β = 90.00°, γ = 90.00°
Space group Pm-3m (No. 221)
Inequivalent atoms, fractional coordinates:
1 Ti 0.0000 0.0000 0.0000 (multiplicity 1)
2 Nb 0.5000 0.5000 0.5000 (multiplicity 1)
3 Re 0.0000 0.0000 0.5000 (multiplicity 3)

Summary:
**Total magnetic moment**: 0.0 Bohr magnetons per cell
**DOS(E_F)**: 0.737 states/eV per atom
**DFT formation energy**: 1.50 eV per atom
**Total DFT energy (no corrections)**: -9.560 eV per atom
**Offset from the most stable computed form**: 0.0 meV per atom



Entry 11:
Compound: TiNbVRe
Source: Alexandria via LeMat-Bulk
Functional: GGA-PBE
Structure: relaxed

a = 6.3170 Å, b = 6.3170 Å, c = 6.3170 Å
α = 90.00°, β = 90.00°, γ = 90.00°
Space group F-43m (No. 216)
Inequivalent atoms, fractional coordinates:
1 Ti 0.0000 0.0000 0.0000 (multiplicity 4)
2 Nb 0.0000 0.0000 0.5000 (multiplicity 4)
3 V 0.2500 0.2500 0.7500 (multiplicity 4)
4 Re 0.2500 0.2500 0.2500 (multiplicity 4)

Summary:
**Total magnetic moment**: 4.3 Bohr magnetons per cell
**DOS(E_F)**: 1.329 states/eV per atom
**DFT formation energy**: -0.19 eV per atom
**Total DFT energy (no corrections)**: -10.076 eV per atom



Entry 12:
Compound: TiNbReW
Source: Alexandria via LeMat-Bulk
Functional: GGA-PBE
Structure: relaxed

a = 6.3631 Å, b = 6.3631 Å, c = 6.3631 Å
α = 90.00°, β = 90.00°, γ = 90.00°
Space group F-43m (No. 216)
Inequivalent atoms, fractional coordinates:
1 Ti 0.0000 0.0000 0.0000 (multiplicity 4)
2 Nb 0.2500 0.2500 0.2500 (multiplicity 4)
3 Re 0.2500 0.2500 0.7500 (multiplicity 4)
4 W 0.0000 0.0000 0.5000 (multiplicity 4)

Summary:
**Total magnetic moment**: 0.0 Bohr magnetons per cell
**DOS(E_F)**: 0.755 states/eV per atom
**DFT formation energy**: -0.22 eV per atom
**Total DFT energy (no corrections)**: -11.057 eV per atom